No. 1
VASP calculation (SCAN) on a PBEsol-optimized structure of CaSmCd2.

Calculated values
The value obtained for the total magnetization is 0.000 μB per cell. Its density of states at the Fermi level is 2.36 states/eV/f.u. For the total DFT energy (no corrections), the calculation gives -29.1966 eV per atom.

Cell lengths 5.289, 5.289, 5.289 Å; angles 60.00, 60.00, 60.00 degrees
Positions (direct):
Ca: 0.500 0.500 0.500
Cd: 0.250 0.250 0.250
Cd: 0.750 0.750 0.750
Sm: 0.000 0.000 0.000

No. 2
VASP calculation (SCAN) on a PBEsol-optimized structure of InSiRu2.

Calculated values
The value obtained for the total magnetization is 0.000 μB per cell. Its density of states at the Fermi level is 1.68 states/eV/f.u. As for the uncorrected formation energy: -0.153 eV/atom.

Cell lengths 3.055, 4.320, 4.320 Å; angles 90.00, 90.00, 90.00 degrees
Positions (direct):
Ru: 0.000 0.500 0.000
Ru: 0.000 0.000 0.500
In: 0.500 0.000 0.000
Si: 0.500 0.500 0.500

No. 3
VASP calculation (SCAN) on a PBEsol-optimized structure of HgPbI2.

Calculated values
The value obtained for the total magnetization is 0.000 μB per cell. As for the uncorrected formation energy: -0.255 eV/atom.

Cell lengths 5.654, 5.654, 5.654 Å; angles 60.00, 60.00, 60.00 degrees
Positions (direct):
I: 0.750 0.750 0.750
I: 0.250 0.250 0.250
Hg: 0.000 0.000 0.000
Pb: 0.500 0.500 0.500

No. 4
VASP calculation (SCAN) on a PBEsol-optimized structure of Mn2PSe.

Calculated values
The value obtained for the total magnetization is 0.003 μB per cell. Its density of states at the Fermi level is 3.32 states/eV/f.u. As for the uncorrected formation energy: 0.123 eV/atom. The polymorph energy (0 for the lowest one) is 2.62 eV per formula unit.

Cell lengths 2.836, 2.836, 5.758 Å; angles 90.00, 90.00, 90.00 degrees
Positions (direct):
P: 0.500 0.500 0.000
Mn: 0.000 0.000 0.773
Mn: 0.000 0.000 0.227
Se: 0.500 0.500 0.500

Result set for calculated density: 6.591; 10.052; 8.594; 7.879 g/cm3, one per record in the order listed.